(1)
First-principles (GGA-PBE) data for TbDy4Er3S8 after structural relaxation, as listed in the Alexandria database.

Cell and atoms, written as POSCAR:
```
TbDy4Er3S8
1.0
3.892 2.247 6.360
-3.892 2.247 6.360
0.000 -4.494 6.360
Tb Dy Er S
1 4 3 8
Direct
0.000 0.000 0.000 Tb
0.000 0.000 0.500 Dy
0.000 0.500 0.000 Dy
0.500 0.000 0.000 Dy
0.500 0.500 0.500 Dy
0.000 0.500 0.500 Er
0.500 0.000 0.500 Er
0.500 0.500 0.000 Er
0.251 0.251 0.251 S
0.251 0.251 0.746 S
0.251 0.746 0.251 S
0.254 0.749 0.749 S
0.746 0.251 0.251 S
0.749 0.254 0.749 S
0.749 0.749 0.254 S
0.749 0.749 0.749 S
```

DOS(E_F)   9.0 states/eV/cell
Uncorrected formation energy   -1976 meV per atom

---

(2)
First-principles (GGA-PBE) data for La3Tb2Er3 after structural relaxation, as listed in the Alexandria database.

Cell and atoms, written as POSCAR:
```
La3Tb2Er3
1.0
5.026 0.000 0.000
0.000 5.148 0.000
0.000 0.000 20.636
La Tb Er
6 4 6
Direct
0.000 0.000 0.000 La
0.000 0.500 0.124 La
0.000 0.500 0.876 La
0.500 0.000 0.376 La
0.500 0.000 0.624 La
0.500 0.500 0.500 La
0.000 0.000 0.249 Tb
0.000 0.000 0.751 Tb
0.500 0.500 0.251 Tb
0.500 0.500 0.749 Tb
0.000 0.000 0.500 Er
0.000 0.500 0.372 Er
0.000 0.500 0.628 Er
0.500 0.000 0.128 Er
0.500 0.000 0.872 Er
0.500 0.500 0.000 Er
```

ΔH_f (0 K)   0.033 eV per atom
DOS(E_F)   27.4 states/eV/cell

---

(3)
First-principles (GGA-PBE) data for AlReW3 after structural relaxation, as listed in the Alexandria database.

Cell and atoms, written as POSCAR:
```
AlReW3
1.0
4.452 0.000 0.000
0.000 4.452 0.000
0.000 0.000 4.452
Al Re W
1 1 3
Direct
0.000 0.000 0.000 Al
0.500 0.500 0.500 Re
0.000 0.000 0.500 W
0.000 0.500 0.000 W
0.500 0.000 0.000 W
```

Distance to the lowest polymorph of the same formula   0.000 eV/atom
ΔH_f (0 K)   1.947 eV per atom
DOS(E_F)   5.4 states/eV/cell

---

(4)
First-principles (GGA-PBE) data for K3RbRu2O8 after structural relaxation, as listed in the Alexandria database.

Cell and atoms, written as POSCAR:
```
K3RbRu2O8
1.0
6.327 0.000 0.000
-3.164 5.479 0.000
0.000 0.000 8.433
K Rb Ru O
3 1 2 8
Direct
0.000 0.000 0.000 K
0.333 0.667 0.686 K
0.667 0.333 0.314 K
0.000 0.000 0.500 Rb
0.333 0.667 0.195 Ru
0.667 0.333 0.805 Ru
0.181 0.361 0.275 O
0.181 0.819 0.275 O
0.333 0.667 0.985 O
0.361 0.181 0.725 O
0.639 0.819 0.275 O
0.667 0.333 0.015 O
0.819 0.181 0.725 O
0.819 0.639 0.725 O
```

Uncorrected formation energy   -1284 meV per atom

---

(5)
First-principles (GGA-PBE) data for Li2SiIr2 after structural relaxation, as listed in the Alexandria database.

Cell and atoms, written as POSCAR:
```
Li2SiIr2
1.0
7.004 0.000 0.000
0.000 4.051 0.000
-2.335 0.000 4.434
Li Si Ir
4 2 4
Direct
0.188 0.000 0.064 Li
0.312 0.500 0.936 Li
0.688 0.500 0.064 Li
0.812 0.000 0.936 Li
0.000 0.000 0.500 Si
0.500 0.500 0.500 Si
0.103 0.500 0.305 Ir
0.397 0.000 0.695 Ir
0.603 0.000 0.305 Ir
0.897 0.500 0.695 Ir
```

Distance to the lowest polymorph of the same formula   0.000 eV/atom
DOS(E_F)   6.7 states/eV/cell
Uncorrected formation energy   -437 meV per atom

---

(6)
First-principles (GGA-PBE) data for Ce4Pr2Sn3H2 after structural relaxation, as listed in the Alexandria database.

Cell and atoms, written as POSCAR:
```
Ce4Pr2Sn3H2
1.0
-2.347 2.347 13.146
2.347 -2.347 13.146
2.347 2.347 -13.146
Ce Pr Sn H
4 2 3 2
Direct
0.083 0.583 0.500 Ce
0.417 0.917 0.500 Ce
0.583 0.083 0.500 Ce
0.917 0.417 0.500 Ce
0.201 0.201 0.000 Pr
0.799 0.799 0.000 Pr
0.327 0.327 0.000 Sn
0.500 0.500 0.000 Sn
0.673 0.673 0.000 Sn
0.107 0.107 0.000 H
0.893 0.893 0.000 H
```

DOS(E_F)   24.1 states/eV/cell

---

What did we get for calculated total energy? Answer: -6.34, -4.68, -9.06, -5.75, -5.83, -5.23 eV/atom, in the order shown.
What did we get for calculated density? Answer: 7.80, 7.69, 14.39, 3.03, 11.26, 6.88 Mg/m³, in the order shown.